The following is a GGA-PBE calculation of YTa2Ge after structural relaxation, from the Open Quantum Materials Database.

Summary:
Magnetic moment ... 0.01 μB per formula unit
Electronic total energy ... -0.3147 Ha/atom

Unit cell a=4.807 b=4.807 c=4.807 alpha=60.00 beta=60.00 gamma=60.00
Positions (direct):
Y: 0.250 0.250 0.250
Ta: 0.000 0.000 0.000
Ta: 0.750 0.750 0.750
Ge: 0.500 0.500 0.500